## Sr2ZrVO6 (PBE with a Hubbard U)

Data for Sr2ZrVO6 after structural relaxation.

Unit cell a=5.682 b=5.722 c=18.868 alpha=97.94 beta=90.04 gamma=119.45
Positions (direct):
Sr: 0.056 0.125 0.186
Sr: 0.187 0.375 0.562
Sr: 0.322 0.631 0.938
Sr: 0.420 0.869 0.313
Sr: 0.580 0.131 0.687
Sr: 0.678 0.369 0.062
Sr: 0.813 0.625 0.438
Sr: 0.944 0.875 0.814
Zr: 0.000 0.000 0.000
Zr: 0.259 0.504 0.749
Zr: 0.500 0.000 0.500
Zr: 0.741 0.496 0.251
V: 0.119 0.248 0.375
V: 0.369 0.750 0.125
V: 0.631 0.250 0.875
V: 0.881 0.752 0.625
O: 0.062 0.131 0.680
O: 0.082 0.607 0.195
O: 0.133 0.814 0.068
O: 0.136 0.678 0.680
O: 0.141 0.881 0.555
O: 0.211 0.372 0.070
O: 0.295 0.626 0.431
O: 0.348 0.106 0.944
O: 0.365 0.171 0.430
O: 0.371 0.380 0.305
O: 0.402 0.317 0.818
O: 0.478 0.873 0.820
O: 0.522 0.127 0.180
O: 0.598 0.683 0.182
O: 0.629 0.620 0.695
O: 0.635 0.829 0.570
O: 0.652 0.894 0.056
O: 0.705 0.374 0.569
O: 0.789 0.628 0.930
O: 0.859 0.119 0.445
O: 0.864 0.322 0.320
O: 0.867 0.186 0.932
O: 0.918 0.393 0.805
O: 0.938 0.869 0.320

Total energy   -7.7718 eV/atom